Crystalline Ba2RhSe at its relaxed geometry. Source: Alexandria via LeMat-Bulk, functional GGA-PBE.

a = 6.8057 Å, b = 6.8057 Å, c = 8.7498 Å
α = 67.11°, β = 67.11°, γ = 90.00°
Closest atoms and distances in Å follow each position.
Sites, in units of the cell vectors:
Ba 0.0874 0.6250 0.2500  2 Rh 2.88, 2 Se 3.17
Ba 0.3750 0.3374 0.7500  2 Rh 2.88, 2 Se 3.17
Ba 0.8750 0.9126 0.7500  2 Rh 2.88, 2 Se 3.17
Ba 0.6626 0.1250 0.2500  2 Rh 2.88, 2 Se 3.17
Rh 0.7500 0.2500 0.5000  4 Ba 2.88
Rh 0.0000 0.0000 0.0000  4 Ba 2.88
Se 0.5000 0.5000 0.0000  4 Ba 3.17
Se 0.2500 0.7500 0.5000  4 Ba 3.17

raw formation energy	-2.0	eV/f.u.
SG	I-42d (122)